Record 1
A relaxed Sc2CuNiPd crystal, computed with PBEsol.

Cell lengths 4.599, 4.599, 4.544 Å; angles 90.00, 90.00, 90.00 degrees
Space group P4/mmm (No. 123)
Inequivalent atoms, fractional coordinates:
Sc: 0.000 0.500 0.000 [2 per cell]
Cu: 0.000 0.000 0.500 [1 per cell]
Ni: 0.500 0.500 0.000 [1 per cell]
Pd: 0.500 0.500 0.500 [1 per cell]

Output
ΔE_f in eV per formula unit: 1.0
Total DFT energy (no corrections) in eV/atom: -5.741
D(E_F) in states/eV per cell: 3.23

Record 2
A relaxed CuNi2TePd crystal, computed with PBEsol.

Cell lengths 4.269, 4.269, 4.532 Å; angles 90.00, 90.00, 90.00 degrees
Space group P4/mmm (No. 123)
Inequivalent atoms, fractional coordinates:
Cu: 0.000 0.000 0.000 [1 per cell]
Ni: 0.000 0.500 0.000 [2 per cell]
Te: 0.500 0.500 0.500 [1 per cell]
Pd: 0.000 0.000 0.500 [1 per cell]

Output
Formation energy from raw total energies in kJ/mol of atoms: 70.88
Total DFT energy (no corrections) in eV/atom: -4.492
D(E_F) in states/eV per cell: 7.27

Record 3
A relaxed Pm2CuNi crystal, computed with PBEsol.

Cell lengths 6.900, 6.900, 6.900 Å; angles 90.00, 90.00, 90.00 degrees
Space group Fm-3m (No. 225)
Inequivalent atoms, fractional coordinates:
Pm: 0.250 0.250 0.250 [8 per cell]
Cu: 0.000 0.000 0.000 [4 per cell]
Ni: 0.000 0.000 0.500 [4 per cell]

Output
ΔE_f in eV per formula unit: -0.7
Total DFT energy (no corrections) in eV/atom: -5.371
D(E_F) in states/eV per cell: 13.39